[1]
A relaxed Mo2RuPb crystal. Source: the Alexandria database, functional GGA-PBE.

Output
As for the density of states at the Fermi level: 3.06 states/eV/cell. The energy of formation is 0.5468 eV/atom. The calculated volume comes out at 17.08 Å³ per atom. The total energy is -32.46 eV for the cell shown. The space group is P4/mmm.

abc: 3.841 3.841 4.631
angles: 90.00 90.00 90.00
Positions (direct):
Mo: 0.000 0.500 0.000
Mo: 0.500 0.000 0.000
Ru: 0.000 0.000 0.500
Pb: 0.500 0.500 0.500

***

[2]
A relaxed MoRu2Pb crystal. Source: the Alexandria database, functional GGA-PBE.

Output
As for the density of states at the Fermi level: 5.98 states/eV/cell. The energy of formation is 0.5542 eV/atom. The calculated volume comes out at 16.69 Å³ per atom. The total energy is -30.87 eV for the cell shown. The space group is P4/mmm.

abc: 4.376 4.376 3.487
angles: 90.00 90.00 90.00
Positions (direct):
Mo: 0.000 0.000 0.000
Ru: 0.000 0.500 0.500
Ru: 0.500 0.000 0.500
Pb: 0.500 0.500 0.000

***

[3]
A relaxed Mo2RuPb crystal. Source: the Alexandria database, functional GGA-PBE.

Output
As for the density of states at the Fermi level: 4.49 states/eV/cell. The energy of formation is 0.5169 eV/atom. The calculated volume comes out at 17.63 Å³ per atom. The total energy is -32.58 eV for the cell shown. The space group is Cm.

abc: 4.937 4.937 5.019
angles: 104.54 104.54 36.70
Positions (direct):
Mo: 0.000 0.000 0.000
Mo: 0.727 0.727 0.218
Ru: 0.462 0.462 0.411
Pb: 0.228 0.228 0.713

***

[4]
A relaxed Mo2RuPb crystal. Source: the Alexandria database, functional GGA-PBE.

Output
As for the density of states at the Fermi level: 2.92 states/eV/cell. The energy of formation is 0.4631 eV/atom. The calculated volume comes out at 17.58 Å³ per atom. The total energy is -32.79 eV for the cell shown. The space group is P4mm.

abc: 2.966 2.966 7.995
angles: 90.00 90.00 90.00
Positions (direct):
Mo: 0.000 0.000 0.000
Mo: 0.500 0.500 0.239
Ru: 0.500 0.500 0.797
Pb: 0.000 0.000 0.526

***

[5]
A relaxed MoRuPb2 crystal. Source: the Alexandria database, functional GGA-PBE.

Output
As for the density of states at the Fermi level: 3.27 states/eV/cell. The energy of formation is 0.7026 eV/atom. The calculated volume comes out at 19.45 Å³ per atom. The total energy is -24.71 eV for the cell shown. The space group is P4/mmm.

abc: 3.354 3.354 6.917
angles: 90.00 90.00 90.00
Positions (direct):
Mo: 0.000 0.000 0.000
Ru: 0.000 0.000 0.500
Pb: 0.500 0.500 0.259
Pb: 0.500 0.500 0.741

***

[6]
A relaxed MoRu2Pb2 crystal. Source: the Alexandria database, functional GGA-PBE.

Output
As for the density of states at the Fermi level: 7.81 states/eV/cell. The energy of formation is 1.2564 eV/atom. The calculated volume comes out at 20.72 Å³ per atom. The total energy is -30.52 eV for the cell shown. The space group is I4/mmm.

abc: 6.894 6.894 6.894
angles: 145.70 145.70 49.29
Positions (direct):
Mo: 0.000 0.000 0.000
Ru: 0.406 0.406 0.000
Ru: 0.594 0.594 0.000
Pb: 0.250 0.750 0.500
Pb: 0.750 0.250 0.500

***

[7]
A relaxed MoRu2Pb crystal. Source: the Alexandria database, functional GGA-PBE.

Output
As for the density of states at the Fermi level: 2.83 states/eV/cell. The energy of formation is 0.7337 eV/atom. The calculated volume comes out at 18.96 Å³ per atom. The total energy is -60.31 eV for the cell shown. The space group is I-42d.

abc: 5.882 5.882 5.882
angles: 103.98 103.98 121.12
Positions (direct):
Mo: 0.000 0.000 0.000
Mo: 0.750 0.250 0.500
Ru: 0.073 0.125 0.448
Ru: 0.375 0.927 0.052
Ru: 0.677 0.625 0.552
Ru: 0.875 0.323 0.948
Pb: 0.250 0.750 0.500
Pb: 0.500 0.500 0.000

***

[8]
A relaxed MoRuPb2 crystal. Source: the Alexandria database, functional GGA-PBE.

Output
As for the density of states at the Fermi level: 1.97 states/eV/cell. The energy of formation is 0.2573 eV/atom. The calculated volume comes out at 22.77 Å³ per atom. The total energy is -26.49 eV for the cell shown. The space group is P4mm.

abc: 3.134 3.134 9.272
angles: 90.00 90.00 90.00
Positions (direct):
Mo: 0.000 0.000 0.000
Ru: 0.500 0.500 0.856
Pb: 0.000 0.000 0.623
Pb: 0.500 0.500 0.247

***

[9]
A relaxed MoRu2Pb crystal. Source: the Alexandria database, functional GGA-PBE.

Output
As for the density of states at the Fermi level: 5.49 states/eV/cell. The energy of formation is 0.5076 eV/atom. The calculated volume comes out at 16.59 Å³ per atom. The total energy is -31.06 eV for the cell shown. The space group is Cmmm.

abc: 4.722 4.722 3.030
angles: 90.00 90.00 100.89
Positions (direct):
Mo: 0.000 0.000 0.000
Ru: 0.000 0.500 0.500
Ru: 0.500 0.000 0.500
Pb: 0.500 0.500 0.000

***

[10]
A relaxed Mo2RuPb crystal. Source: the Alexandria database, functional GGA-PBE.

Output
As for the density of states at the Fermi level: 3.70 states/eV/cell. The energy of formation is 0.4911 eV/atom. The calculated volume comes out at 17.35 Å³ per atom. The total energy is -32.68 eV for the cell shown. The space group is P4/mmm.

abc: 2.955 2.955 7.945
angles: 90.00 90.00 90.00
Positions (direct):
Mo: 0.000 0.000 0.220
Mo: 0.000 0.000 0.780
Ru: 0.500 0.500 0.000
Pb: 0.500 0.500 0.500

***

[11]
A relaxed MoRu2Pb crystal. Source: the Alexandria database, functional GGA-PBE.

Output
As for the density of states at the Fermi level: 4.10 states/eV/cell. The energy of formation is 0.3209 eV/atom. The calculated volume comes out at 16.94 Å³ per atom. The total energy is -31.81 eV for the cell shown. The space group is P4/mmm.

abc: 3.004 3.004 7.510
angles: 90.00 90.00 90.00
Positions (direct):
Mo: 0.000 0.000 0.000
Ru: 0.500 0.500 0.219
Ru: 0.500 0.500 0.781
Pb: 0.000 0.000 0.500

***

[12]
A relaxed MoRuPb2 crystal. Source: the Alexandria database, functional GGA-PBE.

Output
As for the density of states at the Fermi level: 3.40 states/eV/cell. The energy of formation is 0.8060 eV/atom. The calculated volume comes out at 20.23 Å³ per atom. The total energy is -24.30 eV for the cell shown. The space group is P2/m.

abc: 3.147 4.449 5.786
angles: 90.00 92.91 90.00
Positions (direct):
Mo: 0.000 0.000 0.000
Ru: 0.500 0.000 0.500
Pb: 0.279 0.500 0.746
Pb: 0.721 0.500 0.254